1.
DFT (PBE) results for an optimized crystal structure of YN3Cl6.

Cell lengths 9.780, 9.780, 9.780 Å; angles 90.00, 90.00, 90.00 degrees
Space group Fm-3m (No. 225)
Inequivalent atoms, fractional coordinates:
Y  0.000  0.000  0.000 [4 per cell]
N  0.000  0.000  0.500 [4 per cell]
N  0.250  0.250  0.250 [8 per cell]
Cl  0.000  0.000  0.270 [24 per cell]

Results
magnetization = 6.006 μB/f.u.
uncorrected energy = -3.4521 eV per atom
energy relative to the elements, uncorrected = 0.80 eV/atom
V = 23.4 A^3/atom

2.
DFT (PBE) results for an optimized crystal structure of Tm12TlIn6.

Cell lengths 13.5635, 13.5635, 12.0394 Å; angles 90.00, 90.00, 120.00 degrees
Space group R-3 (No. 148, hexagonal axes)
Inequivalent atoms, fractional coordinates:
Tm  0.0375  0.8234  0.3897 [18 per cell]
Tm  0.0493  0.8307  0.8939 [18 per cell]
Tl  0.0000  0.0000  0.0000 [3 per cell]
In  0.0485  0.7875  0.6484 [18 per cell]

Results
formation energy from the elements = 0.014 eV per atom
magnetization = 0.000 μB/f.u.
uncorrected energy = -3.7990 eV per atom
V = 33.7 A^3/atom

3.
DFT (PBE) results for an optimized crystal structure of Dy6Ag5Ru.

Cell lengths 5.082, 15.240, 7.205 Å; angles 90.00, 90.00, 90.00 degrees
Space group Cmmm (No. 65)
Inequivalent atoms, fractional coordinates:
Dy  0.000  0.000  0.234 [4 per cell]
Dy  0.000  0.341  0.242 [8 per cell]
Ag  0.000  0.167  0.500 [4 per cell]
Ag  0.000  0.173  0.000 [4 per cell]
Ag  0.000  0.500  0.500 [2 per cell]
Ru  0.000  0.500  0.000 [2 per cell]

Results
formation energy from the elements = -0.340 eV per atom
magnetization = 0.000 μB/f.u.
uncorrected energy = -4.6024 eV per atom
V = 23.3 A^3/atom

4.
DFT (PBE) results for an optimized crystal structure of CaTaOs4.

Cell lengths 7.409, 7.409, 7.409 Å; angles 90.00, 90.00, 90.00 degrees
Space group F-43m (No. 216)
Inequivalent atoms, fractional coordinates:
Ca  0.000  0.000  0.000 [4 per cell]
Ta  0.250  0.250  0.250 [4 per cell]
Os  0.125  0.125  0.625 [16 per cell]

Results
formation energy from the elements = 0.139 eV per atom
magnetization = 0.000 μB/f.u.
uncorrected energy = -9.6565 eV per atom
V = 16.9 A^3/atom

Question: What is the uncorrected energy in the first record?
Answer: -3.4521 eV per atom

Question: Which value of uncorrected energy does entry 1 give?
Answer: -3.4521 eV per atom

Question: Which of these has the highest magnetization?
Answer: YN3Cl6

Question: What is the V in the third record?
Answer: 23.3 A^3/atom